NbAsC: relaxed, PBE.

Structure (CIF):
```
data_NbAsC
_chemical_formula_sum 'Nb2 As2 C2'
_space_group_name_H-M_alt 'P 1'
_space_group_IT_number 1
_cell_length_a 3.862
_cell_length_b 3.500
_cell_length_c 7.556
_cell_angle_alpha 103.39
_cell_angle_beta 104.81
_cell_angle_gamma 90.00
loop_
_space_group_symop_operation_xyz
'x,y,z'
loop_
_atom_site_label
_atom_site_fract_x
_atom_site_fract_y
_atom_site_fract_z
C1 0.331 0.500 0.000
C2 0.669 0.500 0.000
Nb1 0.119 0.619 0.239
As1 0.314 0.814 0.628
Nb2 0.881 0.381 0.761
As2 0.686 0.186 0.372
```

## Properties
As for the crystal system: orthorhombic. The value obtained for the total magnetic moment is 0.00 μB/cell. The calculation puts the calculated volume at 96 Å³/cell. The calculation puts the calculated total energy at -46.6 eV per cell.

***

Rb2AgHI: relaxed, PBE.

Structure (CIF):
```
data_Rb2AgHI
_chemical_formula_sum 'Rb2 Ag1 H1 I1'
_space_group_name_H-M_alt 'P 1'
_space_group_IT_number 1
_cell_length_a 6.128
_cell_length_b 6.128
_cell_length_c 4.272
_cell_angle_alpha 90.00
_cell_angle_beta 90.00
_cell_angle_gamma 90.00
loop_
_space_group_symop_operation_xyz
'x,y,z'
loop_
_atom_site_label
_atom_site_fract_x
_atom_site_fract_y
_atom_site_fract_z
I1 0.500 0.500 0.500
Rb1 0.500 0.000 0.000
Ag1 0.000 0.000 0.500
H1 0.000 0.000 0.000
Rb2 0.000 0.500 0.000
```

## Properties
As for the crystal system: tetragonal. The value obtained for the total magnetic moment is 0.00 μB/cell. The calculation puts the calculated volume at 160 Å³/cell. The calculation puts the calculated total energy at -12.1 eV per cell.

***

Bi2CSe2: relaxed, PBE.

Structure (CIF):
```
data_Bi2CSe2
_chemical_formula_sum 'Bi2 C1 Se2'
_space_group_name_H-M_alt 'P 1'
_space_group_IT_number 1
_cell_length_a 5.842
_cell_length_b 5.842
_cell_length_c 6.896
_cell_angle_alpha 64.94
_cell_angle_beta 64.94
_cell_angle_gamma 90.00
loop_
_space_group_symop_operation_xyz
'x,y,z'
loop_
_atom_site_label
_atom_site_fract_x
_atom_site_fract_y
_atom_site_fract_z
Bi1 0.202 0.202 0.596
Se1 0.250 0.750 0.500
Se2 0.750 0.250 0.500
C1 0.000 0.000 0.000
Bi2 0.798 0.798 0.404
```

## Properties
The energy above the most stable polymorph in this dataset comes out at 0.00 kcal/mol of atoms. As for the crystal system: tetragonal. The value obtained for the total magnetic moment is 2.00 μB/cell. The calculation puts the calculated volume at 188 Å³/cell. The energy relative to the elements, uncorrected comes out at 0.776 eV/atom. The calculation puts the calculated total energy at -20.1 eV per cell.

***

TbSmTh4: relaxed, PBE.

Structure (CIF):
```
data_TbSmTh4
_chemical_formula_sum 'Tb1 Sm1 Th4'
_space_group_name_H-M_alt 'P 1'
_space_group_IT_number 1
_cell_length_a 6.642
_cell_length_b 6.642
_cell_length_c 6.642
_cell_angle_alpha 60.00
_cell_angle_beta 60.00
_cell_angle_gamma 60.00
loop_
_space_group_symop_operation_xyz
'x,y,z'
loop_
_atom_site_label
_atom_site_fract_x
_atom_site_fract_y
_atom_site_fract_z
Th1 0.625 0.625 0.625
Th2 0.625 0.125 0.625
Sm1 0.250 0.250 0.250
Th3 0.125 0.625 0.625
Tb1 0.000 0.000 0.000
Th4 0.625 0.625 0.125
```

## Properties
The energy above the most stable polymorph in this dataset comes out at 5.10 kcal/mol of atoms. As for the crystal system: cubic. The value obtained for the total magnetic moment is 0.00 μB/cell. The calculation puts the calculated volume at 207 Å³/cell. The calculation puts the calculated total energy at -37.4 eV per cell.

***

VSnP: relaxed, PBE.

Structure (CIF):
```
data_VSnP
_chemical_formula_sum 'V4 Sn4 P4'
_space_group_name_H-M_alt 'P 1'
_space_group_IT_number 1
_cell_length_a 5.306
_cell_length_b 7.197
_cell_length_c 6.790
_cell_angle_alpha 105.73
_cell_angle_beta 90.00
_cell_angle_gamma 111.63
loop_
_space_group_symop_operation_xyz
'x,y,z'
loop_
_atom_site_label
_atom_site_fract_x
_atom_site_fract_y
_atom_site_fract_z
P1 0.811 0.623 0.989
V1 0.107 0.213 0.667
P2 0.056 0.112 0.306
P3 0.944 0.888 0.694
V2 0.229 0.458 0.360
Sn1 0.664 0.329 0.224
V3 0.893 0.787 0.333
V4 0.771 0.542 0.640
Sn2 0.415 0.829 0.224
P4 0.189 0.377 0.011
Sn3 0.336 0.671 0.776
Sn4 0.585 0.171 0.776
```

## Properties
As for the crystal system: monoclinic. The value obtained for the total magnetic moment is 0.00 μB/cell. The calculation puts the calculated volume at 231 Å³/cell. The calculation puts the calculated total energy at -74.5 eV per cell.

***

Ho6InSi2Se3: relaxed, PBE.

Structure (CIF):
```
data_Ho6InSi2Se3
_chemical_formula_sum 'Ho6 In1 Si2 Se3'
_space_group_name_H-M_alt 'P 1'
_space_group_IT_number 1
_cell_length_a 4.099
_cell_length_b 8.377
_cell_length_c 9.365
_cell_angle_alpha 106.88
_cell_angle_beta 102.64
_cell_angle_gamma 90.00
loop_
_space_group_symop_operation_xyz
'x,y,z'
loop_
_atom_site_label
_atom_site_fract_x
_atom_site_fract_y
_atom_site_fract_z
Ho1 0.000 0.265 0.000
Ho2 0.000 0.735 0.000
Si1 0.837 0.677 0.674
In1 0.500 0.000 0.000
Si2 0.163 0.323 0.326
Se1 0.833 0.174 0.667
Ho3 0.672 0.090 0.344
Se2 0.167 0.826 0.333
Ho4 0.328 0.910 0.656
Ho5 0.672 0.567 0.344
Ho6 0.328 0.433 0.656
Se3 0.500 0.500 0.000
```

## Properties
As for the crystal system: monoclinic. The value obtained for the total magnetic moment is 0.00 μB/cell. The calculation puts the calculated volume at 300 Å³/cell. The energy relative to the elements, uncorrected comes out at -1.179 eV/atom. The calculation puts the calculated total energy at -65.7 eV per cell.

***

Er8Th3Sc2: relaxed, PBE.

Structure (CIF):
```
data_Er8Th3Sc2
_chemical_formula_sum 'Er8 Th3 Sc2'
_space_group_name_H-M_alt 'P 1'
_space_group_IT_number 1
_cell_length_a 6.487
_cell_length_b 9.214
_cell_length_c 8.524
_cell_angle_alpha 122.72
_cell_angle_beta 98.16
_cell_angle_gamma 90.00
loop_
_space_group_symop_operation_xyz
'x,y,z'
loop_
_atom_site_label
_atom_site_fract_x
_atom_site_fract_y
_atom_site_fract_z
Er1 0.561 0.202 0.765
Th1 0.500 0.000 0.000
Er2 0.195 0.786 0.573
Er3 0.439 0.437 0.235
Er4 0.805 0.214 0.427
Er5 0.439 0.798 0.235
Th2 0.000 0.832 0.000
Er6 0.561 0.563 0.765
Sc1 0.701 0.806 0.612
Th3 0.000 0.168 0.000
Er7 0.865 0.581 0.162
Sc2 0.299 0.194 0.388
Er8 0.135 0.419 0.838
```

## Properties
The energy above the most stable polymorph in this dataset comes out at 5.39 kcal/mol of atoms. As for the crystal system: monoclinic. The value obtained for the total magnetic moment is 0.00 μB/cell. The calculation puts the calculated volume at 422 Å³/cell. The calculation puts the calculated total energy at -67.8 eV per cell.

***

RbTc2C: relaxed, PBE.

Structure (CIF):
```
data_RbTc2C
_chemical_formula_sum 'Rb2 Tc4 C2'
_space_group_name_H-M_alt 'P 1'
_space_group_IT_number 1
_cell_length_a 6.391
_cell_length_b 6.391
_cell_length_c 6.392
_cell_angle_alpha 60.00
_cell_angle_beta 60.00
_cell_angle_gamma 90.00
loop_
_space_group_symop_operation_xyz
'x,y,z'
loop_
_atom_site_label
_atom_site_fract_x
_atom_site_fract_y
_atom_site_fract_z
Tc1 0.875 0.625 0.750
Rb1 0.000 0.000 0.000
Rb2 0.750 0.250 0.500
C1 0.250 0.750 0.500
C2 0.500 0.500 0.000
Tc2 0.375 0.625 0.750
Tc3 0.375 0.625 0.250
Tc4 0.375 0.125 0.250
```

## Properties
As for the crystal system: cubic. The value obtained for the total magnetic moment is 5.99 μB/cell. The calculation puts the calculated volume at 185 Å³/cell. The calculation puts the calculated total energy at -52.5 eV per cell.

***

Li2TbPmGe2: relaxed, PBE.

Structure (CIF):
```
data_Li2TbPmGe2
_chemical_formula_sum 'Li2 Tb1 Pm1 Ge2'
_space_group_name_H-M_alt 'P 1'
_space_group_IT_number 1
_cell_length_a 4.449
_cell_length_b 4.449
_cell_length_c 7.351
_cell_angle_alpha 90.00
_cell_angle_beta 90.00
_cell_angle_gamma 120.00
loop_
_space_group_symop_operation_xyz
'x,y,z'
loop_
_atom_site_label
_atom_site_fract_x
_atom_site_fract_y
_atom_site_fract_z
Pm1 0.000 0.000 0.000
Tb1 0.000 0.000 0.500
Li1 0.333 0.667 0.732
Ge1 0.667 0.333 0.742
Ge2 0.333 0.667 0.258
Li2 0.667 0.333 0.268
```

## Properties
As for the crystal system: trigonal. The value obtained for the total magnetic moment is 0.00 μB/cell. The calculation puts the calculated volume at 126 Å³/cell. The calculation puts the calculated total energy at -26.5 eV per cell.

***

RbIn2AgBr4: relaxed, PBE.

Structure (CIF):
```
data_RbIn2AgBr4
_chemical_formula_sum 'Rb2 In4 Ag2 Br8'
_space_group_name_H-M_alt 'P 1'
_space_group_IT_number 1
_cell_length_a 9.382
_cell_length_b 9.382
_cell_length_c 9.441
_cell_angle_alpha 120.21
_cell_angle_beta 120.21
_cell_angle_gamma 88.64
loop_
_space_group_symop_operation_xyz
'x,y,z'
loop_
_atom_site_label
_atom_site_fract_x
_atom_site_fract_y
_atom_site_fract_z
Br1 0.747 0.753 0.015
Ag1 0.500 0.500 0.500
Br2 0.304 0.706 0.505
Br3 0.206 0.804 0.005
In1 0.500 0.000 0.000
Br4 0.253 0.247 0.985
Ag2 0.000 0.000 0.000
In2 0.000 0.000 0.500
In3 0.500 0.500 0.000
Br5 0.696 0.294 0.495
Rb1 0.000 0.500 0.000
Br6 0.747 0.753 0.485
In4 0.500 0.000 0.500
Br7 0.253 0.247 0.515
Br8 0.794 0.196 0.995
Rb2 0.000 0.500 0.500
```

## Properties
As for the crystal system: orthorhombic. The value obtained for the total magnetic moment is 0.00 μB/cell. The calculation puts the calculated volume at 591 Å³/cell. The energy relative to the elements, uncorrected comes out at -0.800 eV/atom. The calculation puts the calculated total energy at -44.8 eV per cell.

***

CoTcHg2: relaxed, PBE.

Structure (CIF):
```
data_CoTcHg2
_chemical_formula_sum 'Co1 Tc1 Hg2'
_space_group_name_H-M_alt 'P 1'
_space_group_IT_number 1
_cell_length_a 9.859
_cell_length_b 9.859
_cell_length_c 9.859
_cell_angle_alpha 16.82
_cell_angle_beta 16.82
_cell_angle_gamma 16.82
loop_
_space_group_symop_operation_xyz
'x,y,z'
loop_
_atom_site_label
_atom_site_fract_x
_atom_site_fract_y
_atom_site_fract_z
Co1 0.758 0.758 0.758
Hg1 0.241 0.241 0.241
Tc1 0.488 0.488 0.488
Hg2 0.013 0.013 0.013
```

## Properties
The energy above the most stable polymorph in this dataset comes out at 2.61 kcal/mol of atoms. As for the crystal system: trigonal. The value obtained for the total magnetic moment is 1.06 μB/cell. The calculation puts the calculated volume at 70 Å³/cell. The calculation puts the calculated total energy at -16.3 eV per cell.

***

CeSmTc2: relaxed, PBE.

Structure (CIF):
```
data_CeSmTc2
_chemical_formula_sum 'Ce1 Sm1 Tc2'
_space_group_name_H-M_alt 'P 1'
_space_group_IT_number 1
_cell_length_a 3.436
_cell_length_b 3.436
_cell_length_c 7.047
_cell_angle_alpha 90.00
_cell_angle_beta 90.00
_cell_angle_gamma 90.00
loop_
_space_group_symop_operation_xyz
'x,y,z'
loop_
_atom_site_label
_atom_site_fract_x
_atom_site_fract_y
_atom_site_fract_z
Sm1 0.500 0.500 0.500
Tc1 0.000 0.000 0.780
Ce1 0.500 0.500 0.000
Tc2 0.000 0.000 0.220
```

## Properties
The energy above the most stable polymorph in this dataset comes out at 0.00 kcal/mol of atoms. As for the crystal system: tetragonal. The value obtained for the total magnetic moment is 0.00 μB/cell. The calculation puts the calculated volume at 83 Å³/cell. The calculation puts the calculated total energy at -31.0 eV per cell.